Entry 1:
## CePa (PBE)

Data for crystalline CePa at its relaxed geometry.

Cell: 3.071 5.280 6.294 Å, 90.00 104.10 90.00°
Positions (direct):
Ce: 0.073 0.250 0.144
Ce: 0.927 0.750 0.856
Pa: 0.188 0.750 0.376
Pa: 0.812 0.250 0.624

Summary:
VASP energy   -30.4 eV for the cell shown
ΔE to the lowest computed polymorph   0.0655 eV/atom
Formation enthalpy at 0 K   0.12 eV/atom
V   98.97 Å³/cell
Space-group type   P2_1/m (11)
Total moment   0.00 μB/f.u.

Entry 2:
## Hf6MnCo5 (PBE)

Data for crystalline Hf6MnCo5 at its relaxed geometry.

Cell: 7.050 7.050 6.281 Å, 90.00 90.00 143.05°
Positions (direct):
Hf: 0.000 0.000 0.249
Hf: 0.000 0.000 0.751
Hf: 0.334 0.666 0.250
Hf: 0.334 0.666 0.750
Hf: 0.666 0.334 0.250
Hf: 0.666 0.334 0.750
Mn: 0.500 0.500 0.000
Co: 0.167 0.833 0.000
Co: 0.167 0.833 0.500
Co: 0.500 0.500 0.500
Co: 0.833 0.167 0.000
Co: 0.833 0.167 0.500

Summary:
VASP energy   -108.8 eV for the cell shown
Formation enthalpy at 0 K   -0.37 eV/atom
V   187.62 Å³/cell
Space-group type   Cmmm (65)
Total moment   1.94 μB/f.u.

Entry 3:
## KRbHgPd (PBE)

Data for crystalline KRbHgPd at its relaxed geometry.

Cell: 4.785 4.785 9.081 Å, 105.37 105.37 60.03°
Positions (direct):
K: 0.000 0.000 0.000
Rb: 0.825 0.825 0.480
Hg: 0.584 0.584 0.753
Pd: 0.250 0.250 0.752

Summary:
VASP energy   -8.2 eV for the cell shown
ΔE to the lowest computed polymorph   0.0000 eV/atom
Formation enthalpy at 0 K   -0.15 eV/atom
V   171.45 Å³/cell
Space-group type   Cm (8)
Total moment   0.00 μB/f.u.

Entry 4:
## TlCuW (PBE)

Data for crystalline TlCuW at its relaxed geometry.

Cell: 4.467 4.467 4.467 Å, 60.00 60.00 60.00°
Positions (direct):
Tl: 0.000 0.000 0.000
Cu: 0.500 0.500 0.500
W: 0.750 0.750 0.750

Summary:
VASP energy   -15.0 eV for the cell shown
ΔE to the lowest computed polymorph   0.7176 eV/atom
Formation enthalpy at 0 K   1.46 eV/atom
V   63.04 Å³/cell
Space-group type   F-43m (216)
Total moment   0.85 μB/f.u.

Entry 5:
## TlOsPb2 (PBE)

Data for crystalline TlOsPb2 at its relaxed geometry.

Cell: 10.697 10.697 10.697 Å, 17.83 17.83 17.83°
Positions (direct):
Tl: 0.000 0.000 0.000
Os: 0.265 0.265 0.265
Pb: 0.531 0.531 0.531
Pb: 0.762 0.762 0.762

Summary:
VASP energy   -18.4 eV for the cell shown
ΔE to the lowest computed polymorph   0.1879 eV/atom
Formation enthalpy at 0 K   0.66 eV/atom
V   100.20 Å³/cell
Space-group type   R3m (160)
Total moment   0.00 μB/f.u.

Entry 6:
## HgPt2Br (PBE)

Data for crystalline HgPt2Br at its relaxed geometry.

Cell: 3.151 3.151 9.180 Å, 90.00 90.00 122.64°
Positions (direct):
Hg: 0.000 0.000 0.000
Pt: 0.500 0.500 0.252
Pt: 0.500 0.500 0.748
Br: 0.000 0.000 0.500

Summary:
VASP energy   -12.4 eV for the cell shown
ΔE to the lowest computed polymorph   0.2630 eV/atom
Raw formation energy   0.408 eV per atom
V   76.76 Å³/cell
Space-group type   Cmmm (65)
Total moment   0.00 μB/f.u.

Entry 7:
## Tm3Sc3Cd2 (PBE)

Data for crystalline Tm3Sc3Cd2 at its relaxed geometry.

Cell: 6.101 6.101 15.224 Å, 90.00 90.00 132.04°
Positions (direct):
Tm: 0.048 0.952 0.606
Tm: 0.048 0.952 0.894
Tm: 0.280 0.720 0.750
Tm: 0.720 0.280 0.250
Tm: 0.952 0.048 0.106
Tm: 0.952 0.048 0.394
Sc: 0.361 0.639 0.536
Sc: 0.361 0.639 0.964
Sc: 0.438 0.562 0.250
Sc: 0.562 0.438 0.750
Sc: 0.639 0.361 0.036
Sc: 0.639 0.361 0.464
Cd: 0.230 0.770 0.128
Cd: 0.230 0.770 0.372
Cd: 0.770 0.230 0.628
Cd: 0.770 0.230 0.872

Summary:
VASP energy   -69.1 eV for the cell shown
Formation enthalpy at 0 K   -0.04 eV/atom
V   420.88 Å³/cell
Space-group type   Cmcm (63)
Total moment   0.00 μB/f.u.

Entry 8:
## TiZnCuW2 (PBE)

Data for crystalline TiZnCuW2 at its relaxed geometry.

Cell: 4.551 4.551 4.748 Å, 90.00 90.00 90.00°
Positions (direct):
Ti: 0.000 0.000 0.000
Zn: 0.000 0.000 0.500
Cu: 0.500 0.500 0.500
W: 0.000 0.500 0.000
W: 0.500 0.000 0.000

Summary:
VASP energy   -30.0 eV for the cell shown
Formation enthalpy at 0 K   1.83 eV/atom
V   98.35 Å³/cell
Space-group type   P4/mmm (123)
Total moment   0.00 μB/f.u.

Entry 9:
## Tm9MgIn2 (PBE)

Data for crystalline Tm9MgIn2 at its relaxed geometry.

Cell: 4.802 4.802 14.417 Å, 90.00 90.00 90.00°
Positions (direct):
Tm: 0.000 0.000 0.000
Tm: 0.000 0.000 0.334
Tm: 0.000 0.000 0.666
Tm: 0.000 0.500 0.169
Tm: 0.000 0.500 0.500
Tm: 0.000 0.500 0.831
Tm: 0.500 0.000 0.169
Tm: 0.500 0.000 0.500
Tm: 0.500 0.000 0.831
Mg: 0.500 0.500 0.000
In: 0.500 0.500 0.335
In: 0.500 0.500 0.665

Summary:
VASP energy   -49.3 eV for the cell shown
Formation enthalpy at 0 K   -0.16 eV/atom
V   332.49 Å³/cell
Space-group type   P4/mmm (123)
Total moment   0.00 μB/f.u.

Entry 10:
## LiTc2Ru (PBE)

Data for crystalline LiTc2Ru at its relaxed geometry.

Cell: 3.036 3.036 5.798 Å, 90.00 90.00 90.00°
Positions (direct):
Li: 0.000 0.000 0.000
Tc: 0.000 0.000 0.504
Tc: 0.500 0.500 0.761
Ru: 0.500 0.500 0.213

Summary:
VASP energy   -31.0 eV for the cell shown
ΔE to the lowest computed polymorph   0.0611 eV/atom
Formation enthalpy at 0 K   0.23 eV/atom
V   53.42 Å³/cell
Space-group type   P4mm (99)
Total moment   0.00 μB/f.u.

Entry 11:
## Ca6Cd23Ga (PBE)

Data for crystalline Ca6Cd23Ga at its relaxed geometry.

Cell: 10.088 10.088 10.088 Å, 60.00 60.00 60.00°
Positions (direct):
Ca: 0.221 0.221 0.779
Ca: 0.221 0.779 0.221
Ca: 0.221 0.779 0.779
Ca: 0.779 0.221 0.221
Ca: 0.779 0.221 0.779
Ca: 0.779 0.779 0.221
Cd: 0.000 0.000 0.500
Cd: 0.000 0.500 0.000
Cd: 0.000 0.500 0.500
Cd: 0.124 0.625 0.625
Cd: 0.155 0.155 0.155
Cd: 0.155 0.155 0.536
Cd: 0.155 0.536 0.155
Cd: 0.375 0.375 0.375
Cd: 0.375 0.375 0.876
Cd: 0.375 0.876 0.375
Cd: 0.464 0.845 0.845
Cd: 0.500 0.000 0.000
Cd: 0.500 0.000 0.500
Cd: 0.500 0.500 0.000
Cd: 0.500 0.500 0.500
Cd: 0.536 0.155 0.155
Cd: 0.625 0.124 0.625
Cd: 0.625 0.625 0.124
Cd: 0.625 0.625 0.625
Cd: 0.845 0.464 0.845
Cd: 0.845 0.845 0.464
Cd: 0.845 0.845 0.845
Cd: 0.876 0.375 0.375
Ga: 0.000 0.000 0.000

Summary:
VASP energy   -43.0 eV for the cell shown
Formation enthalpy at 0 K   -0.23 eV/atom
V   725.89 Å³/cell
Space-group type   Fm-3m (225)
Total moment   0.00 μB/f.u.

Entry 12:
## TlHgCl2 (PBE)

Data for crystalline TlHgCl2 at its relaxed geometry.

Cell: 3.769 4.041 7.922 Å, 90.00 90.59 90.00°
Positions (direct):
Tl: 0.000 0.000 0.000
Hg: 0.500 0.000 0.500
Cl: 0.494 0.500 0.765
Cl: 0.506 0.500 0.235

Summary:
VASP energy   -8.5 eV for the cell shown
ΔE to the lowest computed polymorph   0.0982 eV/atom
Raw formation energy   -0.530 eV per atom
V   120.63 Å³/cell
Space-group type   P2/m (10)
Total moment   0.00 μB/f.u.

Entry 13:
## PrDyAu (PBE)

Data for crystalline PrDyAu at its relaxed geometry.

Cell: 6.834 6.834 6.834 Å, 148.90 148.90 44.56°
Positions (direct):
Pr: 0.000 0.000 0.000
Dy: 0.288 0.288 0.000
Au: 0.664 0.664 0.000

Summary:
VASP energy   -14.2 eV for the cell shown
ΔE to the lowest computed polymorph   0.0791 eV/atom
Formation enthalpy at 0 K   -0.51 eV/atom
V   84.92 Å³/cell
Space-group type   I4mm (107)
Total moment   0.62 μB/f.u.

Entry 14:
## TiAlAu2 (PBE)

Data for crystalline TiAlAu2 at its relaxed geometry.

Cell: 4.211 4.211 3.823 Å, 90.00 90.00 90.00°
Positions (direct):
Ti: 0.000 0.000 0.000
Al: 0.500 0.500 0.000
Au: 0.000 0.500 0.500
Au: 0.500 0.000 0.500

Summary:
VASP energy   -19.6 eV for the cell shown
Formation enthalpy at 0 K   -0.36 eV/atom
V   67.79 Å³/cell
Space-group type   P4/mmm (123)
Total moment   0.00 μB/f.u.

Entry 15:
## Ca2Ga3Pd4 (PBE)

Data for crystalline Ca2Ga3Pd4 at its relaxed geometry.

Cell: 8.119 8.119 7.623 Å, 90.00 90.00 138.73°
Positions (direct):
Ca: 0.108 0.892 0.915
Ca: 0.392 0.608 0.415
Ca: 0.608 0.392 0.585
Ca: 0.892 0.108 0.085
Ga: 0.000 0.000 0.500
Ga: 0.019 0.481 0.750
Ga: 0.481 0.019 0.250
Ga: 0.500 0.500 0.000
Ga: 0.519 0.981 0.750
Ga: 0.981 0.519 0.250
Pd: 0.181 0.819 0.519
Pd: 0.188 0.312 0.750
Pd: 0.312 0.188 0.250
Pd: 0.319 0.681 0.019
Pd: 0.681 0.319 0.981
Pd: 0.688 0.812 0.750
Pd: 0.812 0.688 0.250
Pd: 0.819 0.181 0.481

Summary:
VASP energy   -81.6 eV for the cell shown
Formation enthalpy at 0 K   -0.77 eV/atom
V   331.46 Å³/cell
Space-group type   Cmce (64)
Total moment   0.00 μB/f.u.

Entry 16:
## AlN3Cl3 (PBE)

Data for crystalline AlN3Cl3 at its relaxed geometry.

Cell: 4.793 7.199 9.433 Å, 94.48 93.51 91.15°
Positions (direct):
Al: 0.000 0.000 0.000
Al: 0.000 0.500 0.500
N: 0.088 0.459 0.302
N: 0.251 0.798 0.983
N: 0.287 0.688 0.526
N: 0.713 0.312 0.474
N: 0.749 0.202 0.017
N: 0.912 0.541 0.698
Cl: 0.034 0.046 0.773
Cl: 0.450 0.247 0.076
Cl: 0.460 0.274 0.572
Cl: 0.540 0.726 0.428
Cl: 0.550 0.753 0.924
Cl: 0.966 0.954 0.227

Summary:
VASP energy   -55.3 eV for the cell shown
Raw formation energy   0.944 eV per atom
V   323.78 Å³/cell
Space-group type   P-1 (2)
Total moment   5.00 μB/f.u.

Entry 17:
## NdAl11 (PBE)

Data for crystalline NdAl11 at its relaxed geometry.

Cell: 8.594 8.594 8.594 Å, 100.27 100.27 130.04°
Positions (direct):
Nd: 0.375 0.625 0.750
Nd: 0.625 0.375 0.250
Al: 0.000 0.000 0.000
Al: 0.000 0.000 0.500
Al: 0.000 0.500 0.000
Al: 0.125 0.875 0.250
Al: 0.136 0.558 0.335
Al: 0.136 0.801 0.578
Al: 0.199 0.277 0.335
Al: 0.199 0.864 0.922
Al: 0.277 0.199 0.835
Al: 0.277 0.442 0.078
Al: 0.442 0.277 0.578
Al: 0.442 0.864 0.165
Al: 0.500 0.000 0.500
Al: 0.558 0.136 0.835
Al: 0.558 0.723 0.422
Al: 0.723 0.558 0.922
Al: 0.723 0.801 0.165
Al: 0.801 0.136 0.078
Al: 0.801 0.723 0.665
Al: 0.864 0.199 0.422
Al: 0.864 0.442 0.665
Al: 0.875 0.125 0.750

Summary:
VASP energy   -93.8 eV for the cell shown
Formation enthalpy at 0 K   -0.08 eV/atom
V   440.56 Å³/cell
Space-group type   I4_1/amd (141)
Total moment   0.00 μB/f.u.

Entry 18:
## Mg3SnHg5 (PBE)

Data for crystalline Mg3SnHg5 at its relaxed geometry.

Cell: 8.893 8.893 6.153 Å, 90.00 90.00 120.00°
Positions (direct):
Mg: 0.000 0.354 0.250
Mg: 0.000 0.646 0.750
Mg: 0.354 0.000 0.250
Mg: 0.354 0.354 0.750
Mg: 0.646 0.000 0.750
Mg: 0.646 0.646 0.250
Sn: 0.000 0.000 0.000
Sn: 0.000 0.000 0.500
Hg: 0.000 0.322 0.750
Hg: 0.000 0.678 0.250
Hg: 0.322 0.000 0.750
Hg: 0.322 0.322 0.250
Hg: 0.333 0.667 0.000
Hg: 0.333 0.667 0.500
Hg: 0.667 0.333 0.000
Hg: 0.667 0.333 0.500
Hg: 0.678 0.000 0.250
Hg: 0.678 0.678 0.750

Summary:
VASP energy   -22.1 eV for the cell shown
Formation enthalpy at 0 K   -0.08 eV/atom
V   421.47 Å³/cell
Space-group type   P6_3/mcm (193)
Total moment   0.00 μB/f.u.

Entry 19:
## Tm5Bi4Ir (PBE)

Data for crystalline Tm5Bi4Ir at its relaxed geometry.

Cell: 7.509 7.509 7.509 Å, 99.88 99.88 131.05°
Positions (direct):
Tm: 0.000 0.000 0.000
Tm: 0.357 0.723 0.821
Tm: 0.536 0.357 0.633
Tm: 0.723 0.903 0.367
Tm: 0.903 0.536 0.179
Bi: 0.045 0.834 0.614
Bi: 0.220 0.431 0.386
Bi: 0.431 0.045 0.211
Bi: 0.834 0.220 0.789
Ir: 0.560 0.560 0.000

Summary:
VASP energy   -53.7 eV for the cell shown
Formation enthalpy at 0 K   -0.70 eV/atom
V   290.66 Å³/cell
Space-group type   I4 (79)
Total moment   0.00 μB/f.u.

Entry 20:
## PmThGeRh (PBE)

Data for crystalline PmThGeRh at its relaxed geometry.

Cell: 5.117 5.117 5.117 Å, 60.00 60.00 60.00°
Positions (direct):
Pm: 0.000 0.000 0.000
Th: 0.500 0.500 0.500
Ge: 0.750 0.750 0.750
Rh: 0.250 0.250 0.250

Summary:
VASP energy   -26.5 eV for the cell shown
Formation enthalpy at 0 K   -0.59 eV/atom
V   94.75 Å³/cell
Space-group type   F-43m (216)
Total moment   0.00 μB/f.u.

Entry 21:
## V2ZnSb (PBE)

Data for crystalline V2ZnSb at its relaxed geometry.

Cell: 4.833 4.833 4.833 Å, 52.85 52.85 52.85°
Positions (direct):
V: 0.220 0.220 0.220
V: 0.780 0.780 0.780
Zn: 0.500 0.500 0.500
Sb: 0.000 0.000 0.000

Summary:
VASP energy   -22.8 eV for the cell shown
ΔE to the lowest computed polymorph   0.0000 eV/atom
Raw formation energy   0.215 eV per atom
V   66.42 Å³/cell
Space-group type   R-3m (166)
Total moment   0.00 μB/f.u.

Entry 22:
## Er2ZrSc8 (PBE)

Data for crystalline Er2ZrSc8 at its relaxed geometry.

Cell: 8.558 8.558 5.375 Å, 105.27 105.27 121.69°
Positions (direct):
Er: 0.193 0.807 0.000
Er: 0.807 0.193 0.000
Zr: 0.500 0.500 0.500
Sc: 0.078 0.078 0.298
Sc: 0.176 0.402 0.829
Sc: 0.299 0.701 0.500
Sc: 0.402 0.176 0.829
Sc: 0.598 0.824 0.171
Sc: 0.701 0.299 0.500
Sc: 0.824 0.598 0.171
Sc: 0.922 0.922 0.702

Summary:
VASP energy   -66.3 eV for the cell shown
Formation enthalpy at 0 K   0.19 eV/atom
V   281.80 Å³/cell
Space-group type   C2/m (12)
Total moment   1.15 μB/f.u.